VASP calculation (SCAN) on a PBEsol-optimized structure of Mn3CuRe.

Summary:
total DFT energy (no corrections): -134.69 eV for the cell shown

Cell: 4.487 4.487 4.487 Å, 90.00 90.00 90.00°
Last column: magnetic moment on the atom in μB.
Positions (direct):
Re  0.000  0.000  0.000  -0.64
Mn  0.000  0.500  0.000  3.47
Mn  0.000  0.000  0.500  3.47
Mn  0.500  0.000  0.000  3.47
Cu  0.500  0.500  0.500  0.04


VASP calculation (SCAN) on a PBEsol-optimized structure of MnCuRe2.

Summary:
energy above the lowest structure with this stoichiometry: 0 meV/atom
total DFT energy (no corrections): -175.12 eV for the cell shown

Cell: 2.574 2.574 8.202 Å, 90.00 90.00 104.37°
Last column: magnetic moment on the atom in μB.
Positions (direct):
Cu  0.500  0.500  0.500  -0.01
Mn  0.500  0.500  0.000  2.30
Re  0.000  0.000  0.244  -0.16
Re  0.000  0.000  0.756  -0.16


VASP calculation (SCAN) on a PBEsol-optimized structure of MnCuRe2.

Summary:
energy above the lowest structure with this stoichiometry: 96 meV/atom
total DFT energy (no corrections): -174.74 eV for the cell shown

Cell: 2.644 2.644 7.337 Å, 90.00 90.00 90.00°
Positions (direct):
Cu  0.500  0.500  0.000
Mn  0.500  0.500  0.500
Re  0.000  0.000  0.740
Re  0.000  0.000  0.260


VASP calculation (SCAN) on a PBEsol-optimized structure of MnZn2CuRe.

Summary:
total DFT energy (no corrections): -126.98 eV for the cell shown

Cell: 4.265 4.265 4.608 Å, 90.00 90.00 90.00°
Last column: magnetic moment on the atom in μB.
Positions (direct):
Re  0.000  0.000  0.500  -0.90
Zn  0.000  0.500  0.000  -0.01
Zn  0.500  0.000  0.000  -0.01
Mn  0.500  0.500  0.500  4.32
Cu  0.000  0.000  0.000  -0.04


VASP calculation (SCAN) on a PBEsol-optimized structure of MnCu2Rh.

Summary:
total DFT energy (no corrections): -83.16 eV for the cell shown

Cell: 3.597 3.597 4.581 Å, 113.12 113.12 90.00°
Last column: magnetic moment on the atom in μB.
Positions (direct):
Mn  0.500  0.500  0.000  3.80
Rh  0.000  0.000  0.000  0.23
Cu  0.250  0.750  0.500  0.06
Cu  0.750  0.250  0.500  0.06


VASP calculation (SCAN) on a PBEsol-optimized structure of MnCuRh2.

Summary:
total DFT energy (no corrections): -101.69 eV for the cell shown

Cell: 3.655 3.655 4.593 Å, 113.45 113.45 90.00°
Last column: magnetic moment on the atom in μB.
Positions (direct):
Mn  0.250  0.750  0.500  3.65
Rh  0.000  0.000  0.000  -0.41
Rh  0.750  0.250  0.500  -0.29
Cu  0.500  0.500  0.000  0.03


VASP calculation (SCAN) on a PBEsol-optimized structure of MnCuRh2.

Summary:
total DFT energy (no corrections): -101.70 eV for the cell shown

Cell: 3.796 4.400 3.796 Å, 64.44 90.00 115.56°
Last column: magnetic moment on the atom in μB.
Positions (direct):
Mn  0.000  0.000  0.000  3.27
Rh  0.250  0.500  0.250  -0.33
Rh  0.750  0.500  0.750  -0.33
Cu  0.500  0.000  0.500  -0.07


VASP calculation (SCAN) on a PBEsol-optimized structure of MnCuRh2.

Summary:
total DFT energy (no corrections): -101.68 eV for the cell shown

Cell: 2.683 4.444 4.600 Å, 100.56 90.00 107.57°
Last column: magnetic moment on the atom in μB.
Positions (direct):
Mn  0.000  0.000  0.500  3.70
Rh  0.747  0.494  0.750  0.02
Rh  0.253  0.506  0.250  0.02
Cu  0.500  0.000  0.000  0.04


VASP calculation (SCAN) on a PBEsol-optimized structure of MnCu2Rh.

Summary:
total DFT energy (no corrections): -83.19 eV for the cell shown

Cell: 3.706 3.706 4.437 Å, 114.68 114.68 90.00°
Last column: magnetic moment on the atom in μB.
Positions (direct):
Mn  0.500  0.500  0.000  3.79
Rh  0.250  0.750  0.500  0.19
Cu  0.000  0.000  0.000  0.04
Cu  0.750  0.250  0.500  0.10


VASP calculation (SCAN) on a PBEsol-optimized structure of MnCu2Ru.

Summary:
total DFT energy (no corrections): -83.02 eV for the cell shown

Cell: 4.098 4.098 4.098 Å, 60.00 60.00 60.00°
Last column: magnetic moment on the atom in μB.
Positions (direct):
Cu  0.000  0.000  0.000  -0.05
Cu  0.750  0.750  0.750  0.13
Mn  0.500  0.500  0.500  3.45
Ru  0.250  0.250  0.250  -0.29


VASP calculation (SCAN) on a PBEsol-optimized structure of MnCu2Ru.

Summary:
total DFT energy (no corrections): -82.99 eV for the cell shown

Cell: 2.499 4.619 4.984 Å, 115.76 101.39 96.58°
Last column: magnetic moment on the atom in μB.
Positions (direct):
Cu  0.000  0.000  0.500  0.10
Cu  0.500  0.500  0.500  0.10
Mn  0.500  0.000  0.000  3.69
Ru  0.000  0.500  0.000  0.18


VASP calculation (SCAN) on a PBEsol-optimized structure of MnCu2Ru.

Summary:
total DFT energy (no corrections): -83.23 eV for the cell shown

Cell: 3.670 3.670 4.404 Å, 114.62 114.62 90.00°
Last column: magnetic moment on the atom in μB.
Positions (direct):
Cu  0.000  0.000  0.000  0.00
Cu  0.750  0.250  0.500  0.04
Mn  0.500  0.500  0.000  3.29
Ru  0.250  0.750  0.500  -0.42


Question: The highest total DFT energy (no corrections) belongs to which entry?
Answer: number 11